ZnH6Pd3Rh2: optimized geometry, PBE-GGA.

POSCAR file:
```
ZnH6Pd3Rh2
1.0
5.414 -1.478 0.000
5.414 1.478 0.000
-2.757 0.000 6.778
Zn H Pd Rh
1 6 3 2
direct
0.000 0.000 0.000
0.171 0.171 0.472
0.216 0.216 0.211
0.489 0.489 0.660
0.511 0.511 0.340
0.784 0.784 0.789
0.829 0.829 0.528
0.000 0.000 0.500
0.355 0.355 0.136
0.645 0.645 0.864
0.333 0.333 0.694
0.667 0.667 0.306
```

Summary:
- raw total energy (Ry/atom) = -0.3242
- space-group type = C2/m (12)